Below is a relaxed Dy3Mg2ZnPd3 crystal, with properties calculated at the PBE level.

Values from the calculation:
Final energy = -4.47 eV per atom
M_tot = 0.029 μB per formula unit
Crystal system = orthorhombic
Symmetry = Amm2

Cell lengths 3.9598, 7.4349, 7.4349 Å; angles 119.77, 90.00, 90.00 degrees
Closest atoms and distances in Å follow each position.
Positions (direct):
Dy 0.5000 0.4318 0.4318  5 Pd 2.98-3.28, 2 Zn 3.09
Dy 0.5000 0.9877 0.5930  5 Pd 2.95-3.05, 2 Zn 3.23
Dy 0.5000 0.5930 0.9877  5 Pd 2.95-3.05, 2 Zn 3.23
Mg 0.0000 0.2455 0.0047  4 Pd 2.70-2.87
Mg 0.0000 0.0047 0.2455  4 Pd 2.70-2.87
Pd 0.0000 0.6663 0.3288  2 Mg 2.85-2.87, 1 Zn 2.87, 6 Dy 2.97-3.05
Pd 0.0000 0.3288 0.6663  2 Mg 2.85-2.87, 1 Zn 2.87, 6 Dy 2.97-3.05
Pd 0.5000 0.9920 0.9920  2 Zn 2.68, 4 Mg 2.70, 2 Dy 2.95
Zn 0.0000 0.7502 0.7502  4 Pd 2.68-2.87